Entry from Alexandria via LeMat-Bulk: a relaxed structure of MnTeRhN2 (PBEsol).

Calculated volume, Å³/cell: 71
E, eV/cell: -35.0
Formation energy (no corrections), kJ/mol of atoms: 67
Spin magnetization, μB per formula unit: 0.42
Symmetry: P4/mmm, No. 123

Cell and atoms, written as POSCAR:
```
MnTeRhN2
1.0
3.603 0.000 0.000
0.000 3.603 0.000
0.000 0.000 5.451
Mn Te Rh N
1 1 1 2
direct
0.000 0.000 0.000 Mn
0.000 0.000 0.500 Te
0.500 0.500 0.500 Rh
0.000 0.500 0.000 N
0.500 0.000 0.000 N
```